# 1
{
  "formula": "Ag2HgAu2",
  "functional": "PBE",
  "state": "optimized geometry",
  "e_above_lowest_polymorph_mev_per_atom": 104,
  "e_form_ev_per_atom": 0.109,
  "volume_a3_per_atom": 21.21,
  "crystal_system": "tetragonal",
  "magmom_total_mub_per_fu": 0.00,
  "sg": "I4/mmm",
  "cell": [[3.873, 0.000, 0.000], [0.000, 3.873, 0.000], [0.000, 0.000, 14.144]],
  "species": ["Ag", "Ag", "Ag", "Ag", "Hg", "Hg", "Au", "Au", "Au", "Au"],
  "fractional_positions": [[0.000, 0.000, 0.098], [0.000, 0.000, 0.902], [0.500, 0.500, 0.402], [0.500, 0.500, 0.598], [0.000, 0.000, 0.500], [0.500, 0.500, 0.000], [0.000, 0.500, 0.250], [0.000, 0.500, 0.750], [0.500, 0.000, 0.250], [0.500, 0.000, 0.750]]
}

# 2
{
  "formula": "Ti2CoMo",
  "functional": "PBE",
  "state": "optimized geometry",
  "e_form_ev_per_atom": 0.346,
  "volume_a3_per_atom": 15.22,
  "crystal_system": "orthorhombic",
  "magmom_total_mub_per_fu": 0.00,
  "sg": "Immm",
  "cell": [[2.672, 0.000, 0.000], [0.000, 4.682, 0.000], [0.000, 0.000, 9.736]],
  "species": ["Ti", "Ti", "Ti", "Ti", "Co", "Co", "Mo", "Mo"],
  "fractional_positions": [[0.000, 0.000, 0.230], [0.000, 0.000, 0.770], [0.500, 0.500, 0.270], [0.500, 0.500, 0.730], [0.000, 0.000, 0.000], [0.500, 0.500, 0.500], [0.000, 0.000, 0.500], [0.500, 0.500, 0.000]]
}